Er2MnGa2Ni5: relaxed, PBE-GGA.

Structure (POSCAR):
```
Er2MnGa2Ni5
1.0
9.4347 0.0000 0.0000
0.0000 9.4347 0.0000
0.0000 0.0000 3.4105
Er Mn Ga Ni
4 2 4 10
direct
0.1754 0.3246 0.0000
0.3246 0.8246 0.0000
0.6754 0.1754 0.0000
0.8246 0.6754 0.0000
0.0000 0.0000 0.0000
0.5000 0.5000 0.0000
0.1234 0.6234 0.0000
0.3766 0.1234 0.0000
0.6234 0.8766 0.0000
0.8766 0.3766 0.0000
0.0000 0.5000 0.5000
0.0569 0.8015 0.5000
0.1985 0.0569 0.5000
0.3015 0.5569 0.5000
0.4431 0.3015 0.5000
0.5000 0.0000 0.5000
0.5569 0.6985 0.5000
0.6985 0.4431 0.5000
0.8015 0.9431 0.5000
0.9431 0.1985 0.5000
```

space group = P4/mbm
crystal system = tetragonal
D(E_F) = 5.63 states/eV/f.u.
energy of formation from the pure elements = -31.5 kJ per mole of atoms